w:
{"formula": "CaSiTeAuSe", "functional": "PBE-GGA", "state": "relaxed", "lattice": [[4.127, -0.001, 0.001], [-2.040, 5.486, -0.003], [-0.002, -2.412, 6.110]], "species": ["Ca", "Si", "Se", "Au", "Te"], "frac_coords": [[0.153, 0.707, 0.037], [0.871, 0.148, 0.604], [0.659, 0.719, 0.357], [0.477, 0.363, 0.559], [0.851, 0.107, 0.978]], "dos_ef_per_ev_cell": 0.88, "m_tot_mub_per_fu": 0.0}

x:
{"formula": "CaSiTeAuSe", "functional": "PBE-GGA", "state": "relaxed", "lattice": [[4.472, 0.000, -0.004], [0.000, 4.148, 0.000], [-1.829, 0.000, 7.096]], "species": ["Ca", "Te", "Se", "Si", "Au"], "frac_coords": [[0.906, 0.000, 0.209], [0.785, 0.500, 0.840], [0.432, 0.500, 0.270], [0.292, 0.500, 0.566], [0.077, 0.000, 0.651]], "dos_ef_per_ev_cell": 1.49, "m_tot_mub_per_fu": 0.0}

y:
{"formula": "CaSiTeAuSe", "functional": "PBE-GGA", "state": "relaxed", "lattice": [[-5.489, -1.864, -0.211], [0.772, -2.609, 2.966], [-0.046, 4.582, 4.041]], "species": ["Te", "Si", "Se", "Ca", "Au"], "frac_coords": [[0.790, 0.000, 0.959], [0.818, 0.500, 0.672], [0.461, 0.500, 0.387], [0.159, 0.000, 0.500], [0.307, 0.000, 0.990]], "dos_ef_per_ev_cell": 1.71, "m_tot_mub_per_fu": 0.0}

Which of them is most stable, and which least? Most stable: x; least stable: y.

w:
{"formula": "CaSiTeAuSe", "functional": "PBE-GGA", "state": "relaxed", "lattice": [[4.731, 0.000, -0.039], [0.000, 4.606, 0.000], [-2.295, 0.000, 5.934]], "species": ["Se", "Ca", "Te", "Si", "Au"], "frac_coords": [[0.171, 0.500, 0.356], [0.496, 0.500, 0.865], [0.909, 0.000, 0.767], [0.963, 0.000, 0.367], [0.432, 0.000, 0.152]], "dos_ef_per_ev_cell": 0.37, "m_tot_mub_per_fu": 0.0}

x:
{"formula": "CaSiTeAuSe", "functional": "PBE-GGA", "state": "relaxed", "lattice": [[-3.180, -2.744, 0.488], [3.282, -3.255, 3.478], [-3.065, 1.227, 5.177]], "species": ["Ca", "Au", "Se", "Si", "Te"], "frac_coords": [[0.786, 0.265, 0.316], [0.598, 0.817, 0.684], [0.346, 0.598, 0.189], [0.147, 0.637, 0.588], [0.062, 0.191, 0.759]], "dos_ef_per_ev_cell": 1.73, "m_tot_mub_per_fu": 0.0}

Which of them is most stable, and which least? Most stable: x; least stable: w.

w:
{"formula": "CaTeAuSe", "functional": "PBE-GGA", "state": "relaxed", "lattice": [[4.099, -0.002, 0.045], [-2.040, 4.455, -0.036], [-0.037, -2.385, 6.390]], "species": ["Ca", "Au", "Te", "Se"], "frac_coords": [[0.401, 0.834, 0.296], [0.422, 0.880, 0.835], [0.772, 0.582, 0.566], [0.049, 0.127, 0.099]], "dos_ef_per_ev_cell": 2.17, "m_tot_mub_per_fu": 0.0}

x:
{"formula": "CaTeAuSe", "functional": "PBE-GGA", "state": "relaxed", "lattice": [[4.678, 0.003, -0.005], [2.336, 4.055, -0.014], [0.018, 0.045, 6.434]], "species": ["Te", "Se", "Ca", "Au"], "frac_coords": [[0.161, 0.645, 0.406], [0.161, 0.642, 0.933], [0.828, 0.309, 0.775], [0.494, 0.978, 0.464]], "dos_ef_per_ev_cell": 1.00, "m_tot_mub_per_fu": 0.0}

y:
{"formula": "CaTeAuSe", "functional": "PBE-GGA", "state": "relaxed", "lattice": [[-2.441, 0.159, 3.304], [2.420, -2.713, 1.919], [3.398, 4.648, 2.286]], "species": ["Au", "Te", "Se", "Ca"], "frac_coords": [[0.500, 0.500, 0.599], [0.000, 0.000, 0.607], [0.500, 0.500, 0.108], [0.000, 0.000, 0.108]], "dos_ef_per_ev_cell": 0.75, "m_tot_mub_per_fu": 0.0}

z:
{"formula": "CaTeAuSe", "functional": "PBE-GGA", "state": "relaxed", "lattice": [[3.996, 0.011, 0.548], [-0.005, 4.465, -0.046], [-0.989, -2.044, 6.953]], "species": ["Ca", "Se", "Te", "Au"], "frac_coords": [[0.074, 0.661, 0.707], [0.577, 0.822, 0.058], [0.573, 0.068, 0.505], [0.576, 0.245, 0.897]], "dos_ef_per_ev_cell": 2.13, "m_tot_mub_per_fu": 0.0}

Which of them is most stable, and which least? Most stable: y; least stable: z.